Ta2HgRu | PBE-GGA | optimized geometry

Output
The energy relative to the elements comes out at 55 kJ/mol of formula units. For the magnetization, the calculation gives 0.0000 μB/atom.

abc: 5.6867 8.1450 2.9932
angles: 90.00 90.26 90.00
Closest atoms and distances in Å follow each position.
Space group C2/m (No. 12)
Asymmetric unit:
Ta1 0.2500 0.2500 0.0000 (multiplicity 4)  4 Ta 2.84-2.99, 4 Hg 2.90, 4 Ru 2.90
Hg1 0.0000 0.0000 0.5000 (multiplicity 2)  2 Ru 2.84, 8 Ta 2.90, 2 Hg 2.99
Ru1 0.0000 0.5000 0.5000 (multiplicity 2)  2 Hg 2.84, 8 Ta 2.90, 2 Ru 2.99